The following is a PBE-GGA calculation of a geometry-optimized Ca2CrHg2 structure, from the Alexandria database.

Formation energy from the elements   115 meV/atom
E   -2.731 eV per atom
Total magnetic moment   8.67 μB/cell
Relative energy among the computed polymorphs   0.000 eV/atom

abc: 8.6804 8.6804 3.6405
angles: 90.00 90.00 90.00
Closest atoms and distances in Å follow each position.
Sites, in units of the cell vectors:
Ca  0.1513  0.3487  0.0000  6 Hg 3.08-3.16, 2 Cr 3.30
Ca  0.3487  0.8487  0.0000  6 Hg 3.08-3.16, 2 Cr 3.30
Ca  0.6513  0.1513  0.0000  6 Hg 3.08-3.16, 2 Cr 3.30
Ca  0.8487  0.6513  0.0000  6 Hg 3.08-3.16, 2 Cr 3.30
Cr  0.0000  0.0000  0.0000  4 Ca 3.30, 2 Cr 3.64
Cr  0.5000  0.5000  0.0000  4 Ca 3.30, 2 Cr 3.64
Hg  0.1459  0.6459  0.5000  6 Ca 3.08-3.16
Hg  0.3541  0.1459  0.5000  6 Ca 3.08-3.16
Hg  0.6459  0.8541  0.5000  6 Ca 3.08-3.16
Hg  0.8541  0.3541  0.5000  6 Ca 3.08-3.16